Computed, not measured: Pm6Ru2RhBr3 after structural relaxation at the PBE level of DFT.

Unit cell a=7.043 b=7.043 c=8.171 alpha=98.26 beta=98.26 gamma=120.00
Sites, in units of the cell vectors:
1 Pm 0.935 0.596 0.803
2 Pm 0.065 0.404 0.197
3 Pm 0.404 0.065 0.197
4 Pm 0.727 0.727 0.197
5 Pm 0.596 0.935 0.803
6 Pm 0.273 0.273 0.803
7 Br 0.832 0.168 0.500
8 Br 0.500 0.500 0.500
9 Br 0.168 0.832 0.500
10 Ru 0.334 0.666 0.000
11 Ru 0.666 0.334 0.000
12 Rh 0.000 0.000 0.000

Calculated values
Space group ... C2/m, No. 12
Formation energy from raw total energies ... -84.8 kJ per mole of atoms



Computed, not measured: Pm6Rh2SBr3 after structural relaxation at the PBE level of DFT.

Unit cell a=7.193 b=7.193 c=7.929 alpha=98.65 beta=98.65 gamma=119.94
Sites, in units of the cell vectors:
1 Br 0.162 0.838 0.500
2 Br 0.838 0.162 0.500
3 Br 0.500 0.500 0.500
4 Pm 0.718 0.718 0.197
5 Pm 0.933 0.587 0.802
6 Pm 0.587 0.933 0.802
7 Pm 0.413 0.067 0.198
8 Pm 0.282 0.282 0.803
9 Pm 0.067 0.413 0.198
10 Rh 0.333 0.667 0.000
11 Rh 0.667 0.333 0.000
12 S 0.000 0.000 0.000

Calculated values
Space group ... C2/m, No. 12
Formation energy from raw total energies ... -118.0 kJ per mole of atoms



Computed, not measured: Pm6Rh3S2Br after structural relaxation at the PBE level of DFT.

Unit cell a=3.990 b=8.683 c=9.513 alpha=108.78 beta=102.11 gamma=90.00
Sites, in units of the cell vectors:
1 Pm 0.666 0.584 0.332
2 Pm 0.000 0.722 0.000
3 Pm 0.680 0.077 0.360
4 Pm 0.334 0.416 0.668
5 Pm 0.320 0.923 0.640
6 Pm 0.000 0.278 0.000
7 Rh 0.838 0.178 0.676
8 Rh 0.500 0.500 0.000
9 Rh 0.162 0.822 0.324
10 Br 0.500 0.000 0.000
11 S 0.166 0.326 0.332
12 S 0.834 0.674 0.668

Calculated values
Space group ... C2/m, No. 12
Formation energy from raw total energies ... -114.7 kJ per mole of atoms